Crystalline VPd5Au8 at its relaxed geometry. Source: Alexandria via LeMat-Bulk, functional PBE.

The structure in CIF format:
```
data_VPd5Au8
_chemical_formula_sum 'V2 Pd10 Au16'
_space_group_name_H-M_alt 'I -4'
_space_group_IT_number 82
_cell_length_a 7.9452
_cell_length_b 7.9452
_cell_length_c 7.9184
_cell_angle_alpha 90.00
_cell_angle_beta 90.00
_cell_angle_gamma 90.00
loop_
_space_group_symop_operation_xyz
'x,y,z'
'y,-x,-z'
'-x,-y,z'
'-y,x,-z'
'x+1/2,y+1/2,z+1/2'
'y+1/2,-x+1/2,-z+1/2'
'-x+1/2,-y+1/2,z+1/2'
'-y+1/2,x+1/2,-z+1/2'
loop_
_atom_site_label
_atom_site_fract_x
_atom_site_fract_y
_atom_site_fract_z
V1 0.0000 0.0000 0.0000
Pd1 0.0000 0.5000 0.7500
Pd2 0.1108 0.1975 0.4095
Au1 0.0627 0.3336 0.0774
Au2 0.1083 0.1815 0.7530
```

raw total energy: -120.12 eV for the cell shown


Crystalline Mg5ZnCd2Ag2 at its relaxed geometry. Source: Alexandria via LeMat-Bulk, functional PBE.

The structure in CIF format:
```
data_Mg5ZnCd2Ag2
_chemical_formula_sum 'Mg10 Zn2 Cd4 Ag4'
_space_group_name_H-M_alt 'P 4/m b m'
_space_group_IT_number 127
_space_group_name_Hall '-P 4 2ab'
_cell_length_a 10.5226
_cell_length_b 10.5226
_cell_length_c 3.8270
_cell_angle_alpha 90.00
_cell_angle_beta 90.00
_cell_angle_gamma 90.00
loop_
_atom_site_label
_atom_site_fract_x
_atom_site_fract_y
_atom_site_fract_z
Mg1 0.0000 0.5000 0.0000
Mg2 0.0757 0.1928 0.0000
Zn1 0.0000 0.0000 0.5000
Cd1 0.1684 0.6684 0.5000
Ag1 0.1300 0.3700 0.5000
```

raw total energy: -34.54 eV for the cell shown


Crystalline YNiSe2 at its relaxed geometry. Source: Alexandria via LeMat-Bulk, functional PBE.

The structure in CIF format:
```
data_YNiSe2
_chemical_formula_sum 'Y2 Ni2 Se4'
_space_group_name_H-M_alt 'I -4 m 2'
_space_group_IT_number 119
_space_group_name_Hall 'I -4 -2'
_cell_length_a 3.9105
_cell_length_b 3.9105
_cell_length_c 10.2906
_cell_angle_alpha 90.00
_cell_angle_beta 90.00
_cell_angle_gamma 90.00
loop_
_atom_site_label
_atom_site_fract_x
_atom_site_fract_y
_atom_site_fract_z
Y1 0.0000 0.0000 0.0000
Ni1 0.0000 0.5000 0.7500
Se1 0.0000 0.0000 0.5000
Se2 0.0000 0.5000 0.2500
```

formation energy (no corrections): -0.69 eV per atom
raw total energy: -43.98 eV for the cell shown


Crystalline LaCdCo at its relaxed geometry. Source: Alexandria via LeMat-Bulk, functional PBE.

The structure in CIF format:
```
data_LaCdCo
_chemical_formula_sum 'La4 Cd4 Co4'
_space_group_name_H-M_alt 'F -4 3 m'
_space_group_IT_number 216
_space_group_name_Hall 'F -4 2 3'
_cell_length_a 6.6231
_cell_length_b 6.6231
_cell_length_c 6.6231
_cell_angle_alpha 90.00
_cell_angle_beta 90.00
_cell_angle_gamma 90.00
loop_
_atom_site_label
_atom_site_fract_x
_atom_site_fract_y
_atom_site_fract_z
La1 0.0000 0.0000 0.0000
Cd1 0.0000 0.0000 0.5000
Co1 0.2500 0.2500 0.7500
```

raw total energy: -51.65 eV for the cell shown


Crystalline YScRe2 at its relaxed geometry. Source: Alexandria via LeMat-Bulk, functional PBE.

The structure in CIF format:
```
data_YScRe2
_chemical_formula_sum 'Y1 Sc1 Re2'
_space_group_name_H-M_alt 'P m m 2'
_space_group_IT_number 25
_cell_length_a 3.0268
_cell_length_b 4.2096
_cell_length_c 6.0189
_cell_angle_alpha 90.00
_cell_angle_beta 90.00
_cell_angle_gamma 90.00
loop_
_space_group_symop_operation_xyz
'x,y,z'
'-x,-y,z'
'-x,y,z'
'x,-y,z'
loop_
_atom_site_label
_atom_site_fract_x
_atom_site_fract_y
_atom_site_fract_z
Y1 0.0000 0.0000 0.0000
Sc1 0.5000 0.5000 0.7017
Re1 0.0000 0.0000 0.4637
Re2 0.5000 0.5000 0.2824
```

relative energy among the computed polymorphs: 414 meV/atom
raw total energy: -36.22 eV for the cell shown


Crystalline TmZnBO4 at its relaxed geometry. Source: Alexandria via LeMat-Bulk, functional PBE.

The structure in CIF format:
```
data_TmZnBO4
_chemical_formula_sum 'Tm4 Zn4 B4 O16'
_space_group_name_H-M_alt 'I m m a'
_space_group_IT_number 74
_space_group_name_Hall '-I 2b 2'
_cell_length_a 5.7335
_cell_length_b 6.5513
_cell_length_c 7.8131
_cell_angle_alpha 90.00
_cell_angle_beta 90.00
_cell_angle_gamma 90.00
loop_
_atom_site_label
_atom_site_fract_x
_atom_site_fract_y
_atom_site_fract_z
Tm1 0.0000 0.0000 0.0000
Zn1 0.2500 0.2500 0.2500
B1 0.0000 0.2500 0.6247
O1 0.0000 0.0632 0.7223
O2 0.2322 0.2500 0.4933
```

formation energy (no corrections): -2.18 eV per atom
raw total energy: -189.96 eV for the cell shown


Crystalline Pt3PbF at its relaxed geometry. Source: Alexandria via LeMat-Bulk, functional PBE.

The structure in CIF format:
```
data_Pt3PbF
_chemical_formula_sum 'Pt3 Pb1 F1'
_space_group_name_H-M_alt 'P m -3 m'
_space_group_IT_number 221
_space_group_name_Hall '-P 4 2 3'
_cell_length_a 4.5202
_cell_length_b 4.5202
_cell_length_c 4.5202
_cell_angle_alpha 90.00
_cell_angle_beta 90.00
_cell_angle_gamma 90.00
loop_
_atom_site_label
_atom_site_fract_x
_atom_site_fract_y
_atom_site_fract_z
Pt1 0.0000 0.0000 0.5000
Pb1 0.5000 0.5000 0.5000
F1 0.0000 0.0000 0.0000
```

formation energy (no corrections): 0.47 eV per atom
relative energy among the computed polymorphs: 0 meV/atom
raw total energy: -21.34 eV for the cell shown


Crystalline V2Ni8Ir at its relaxed geometry. Source: Alexandria via LeMat-Bulk, functional PBE.

The structure in CIF format:
```
data_V2Ni8Ir
_chemical_formula_sum 'V4 Ni16 Ir2'
_space_group_name_H-M_alt 'C 1 2/m 1'
_space_group_IT_number 12
_cell_length_a 12.9458
_cell_length_b 3.5655
_cell_length_c 5.7620
_cell_angle_alpha 90.00
_cell_angle_beta 106.66
_cell_angle_gamma 90.00
loop_
_space_group_symop_operation_xyz
'x,y,z'
'-x,-y,-z'
'-x,y,-z'
'x,-y,z'
'x+1/2,y+1/2,z'
'-x+1/2,-y+1/2,-z'
'-x+1/2,y+1/2,-z'
'x+1/2,-y+1/2,z'
loop_
_atom_site_label
_atom_site_fract_x
_atom_site_fract_y
_atom_site_fract_z
V1 0.2207 0.0000 0.1522
Ni1 0.0456 0.0000 0.2275
Ni2 0.0936 0.5000 0.9511
Ni3 0.1437 0.0000 0.6989
Ni4 0.1811 0.5000 0.4062
Ir1 0.0000 0.5000 0.5000
```

raw total energy: -149.31 eV for the cell shown


Crystalline TbSc2P3 at its relaxed geometry. Source: Alexandria via LeMat-Bulk, functional PBE.

The structure in CIF format:
```
data_TbSc2P3
_chemical_formula_sum 'Tb2 Sc4 P6'
_space_group_name_H-M_alt 'I m m m'
_space_group_IT_number 71
_space_group_name_Hall '-I 2 2'
_cell_length_a 3.8497
_cell_length_b 5.4734
_cell_length_c 11.5281
_cell_angle_alpha 90.00
_cell_angle_beta 90.00
_cell_angle_gamma 90.00
loop_
_atom_site_label
_atom_site_fract_x
_atom_site_fract_y
_atom_site_fract_z
Tb1 0.0000 0.0000 0.0000
Sc1 0.0000 0.0000 0.3348
P1 0.0000 0.5000 0.0000
P2 0.0000 0.5000 0.3243
```

raw total energy: -85.06 eV for the cell shown


Crystalline Zr6Tl2C at its relaxed geometry. Source: Alexandria via LeMat-Bulk, functional PBE.

The structure in CIF format:
```
data_Zr6Tl2C
_chemical_formula_sum 'Zr12 Tl4 C2'
_space_group_name_H-M_alt 'I 4/m m m'
_space_group_IT_number 139
_space_group_name_Hall '-I 4 2'
_cell_length_a 6.4680
_cell_length_b 6.4680
_cell_length_c 9.0116
_cell_angle_alpha 90.00
_cell_angle_beta 90.00
_cell_angle_gamma 90.00
loop_
_atom_site_label
_atom_site_fract_x
_atom_site_fract_y
_atom_site_fract_z
Zr1 0.0000 0.0000 0.2447
Zr2 0.2492 0.2492 0.0000
Tl1 0.0000 0.5000 0.2500
C1 0.0000 0.0000 0.5000
```

raw total energy: -134.76 eV for the cell shown


Crystalline AcZn2SiRh2 at its relaxed geometry. Source: Alexandria via LeMat-Bulk, functional PBE.

The structure in CIF format:
```
data_AcZn2SiRh2
_chemical_formula_sum 'Ac1 Zn2 Si1 Rh2'
_space_group_name_H-M_alt 'P 4/m m m'
_space_group_IT_number 123
_space_group_name_Hall '-P 4 2'
_cell_length_a 4.4905
_cell_length_b 4.4905
_cell_length_c 6.0215
_cell_angle_alpha 90.00
_cell_angle_beta 90.00
_cell_angle_gamma 90.00
loop_
_atom_site_label
_atom_site_fract_x
_atom_site_fract_y
_atom_site_fract_z
Ac1 0.0000 0.0000 0.0000
Zn1 0.5000 0.5000 0.2409
Si1 0.0000 0.0000 0.5000
Rh1 0.0000 0.5000 0.5000
```

formation energy (no corrections): -0.45 eV per atom
raw total energy: -29.48 eV for the cell shown


Crystalline HgH2N at its relaxed geometry. Source: Alexandria via LeMat-Bulk, functional PBE.

The structure in CIF format:
```
data_HgH2N
_chemical_formula_sum 'Hg4 H8 N4'
_space_group_name_H-M_alt 'I 41/a m d'
_space_group_IT_number 141
_cell_length_a 4.6573
_cell_length_b 4.6573
_cell_length_c 6.5638
_cell_angle_alpha 90.00
_cell_angle_beta 90.00
_cell_angle_gamma 90.00
loop_
_space_group_symop_operation_xyz
'x,y,z'
'-x,-y,-z'
'-y+1/4,x+3/4,z+1/4'
'y+1/4,-x+3/4,-z+1/4'
'-x+1/2,-y,z+1/2'
'x+1/2,y,-z+1/2'
'y+1/4,-x+1/4,z+3/4'
'-y+1/4,x+1/4,-z+3/4'
'x,-y,-z'
'-x,y,z'
'-y+1/4,-x+1/4,-z+3/4'
'y+1/4,x+1/4,z+3/4'
'-x+1/2,y,-z+1/2'
'x+1/2,-y,z+1/2'
'y+1/4,x+3/4,-z+1/4'
'-y+1/4,-x+3/4,z+1/4'
'x+1/2,y+1/2,z+1/2'
'-x+1/2,-y+1/2,-z+1/2'
'-y+3/4,x+1/4,z+3/4'
'y+3/4,-x+1/4,-z+3/4'
'-x,-y+1/2,z'
'x,y+1/2,-z'
'y+3/4,-x+3/4,z+1/4'
'-y+3/4,x+3/4,-z+1/4'
'x+1/2,-y+1/2,-z+1/2'
'-x+1/2,y+1/2,z+1/2'
'-y+3/4,-x+3/4,-z+1/4'
'y+3/4,x+3/4,z+1/4'
'-x,y+1/2,-z'
'x,-y+1/2,z'
'y+3/4,x+1/4,-z+3/4'
'-y+3/4,-x+1/4,z+3/4'
loop_
_atom_site_label
_atom_site_fract_x
_atom_site_fract_y
_atom_site_fract_z
Hg1 0.0000 0.2500 0.3750
H1 0.0000 0.0000 0.0000
N1 0.0000 0.2500 0.8750
```

relative energy among the computed polymorphs: 0 meV/atom
raw total energy: -51.03 eV for the cell shown


Crystalline CsTlHg3 at its relaxed geometry. Source: Alexandria via LeMat-Bulk, functional PBE.

The structure in CIF format:
```
data_CsTlHg3
_chemical_formula_sum 'Cs4 Tl4 Hg12'
_space_group_name_H-M_alt 'C m c m'
_space_group_IT_number 63
_space_group_name_Hall '-C 2c 2'
_cell_length_a 5.9520
_cell_length_b 20.0622
_cell_length_c 6.3469
_cell_angle_alpha 90.00
_cell_angle_beta 90.00
_cell_angle_gamma 90.00
loop_
_atom_site_label
_atom_site_fract_x
_atom_site_fract_y
_atom_site_fract_z
Cs1 0.0000 0.1933 0.2500
Tl1 0.0000 0.4615 0.7500
Hg1 0.0000 0.0000 0.0000
Hg2 0.2449 0.3770 0.2500
```

relative energy among the computed polymorphs: 4 meV/atom
raw total energy: -19.19 eV for the cell shown